Entry w
First-principles (PBE) data for crystalline Co2CuRe at its relaxed geometry, as listed in the Alexandria database.

## Properties
As for the symmetry: No. 216.

Cell: 5.780 5.780 5.780 Å, 90.00 90.00 90.00°
Fractional positions:
Co  0.000  0.000  0.000
Co  0.000  0.500  0.500
Co  0.250  0.250  0.250
Co  0.250  0.750  0.750
Co  0.500  0.000  0.500
Co  0.500  0.500  0.000
Co  0.750  0.250  0.750
Co  0.750  0.750  0.250
Cu  0.000  0.000  0.500
Cu  0.000  0.500  0.000
Cu  0.500  0.000  0.000
Cu  0.500  0.500  0.500
Re  0.250  0.250  0.750
Re  0.250  0.750  0.250
Re  0.750  0.250  0.250
Re  0.750  0.750  0.750

=====

Entry x
First-principles (PBE) data for crystalline Co2CuRe at its relaxed geometry, as listed in the Alexandria database.

## Properties
As for the symmetry: No. 123.

Cell: 2.643 2.643 6.891 Å, 90.00 90.00 90.00°
Fractional positions:
Co  0.000  0.000  0.248
Co  0.000  0.000  0.752
Cu  0.500  0.500  0.000
Re  0.500  0.500  0.500

=====

Entry y
First-principles (PBE) data for crystalline Co2CuRe at its relaxed geometry, as listed in the Alexandria database.

## Properties
As for the symmetry: No. 12.

Cell: 5.136 8.388 2.511 Å, 90.00 113.33 90.00°
Fractional positions:
Co  0.250  0.250  0.000
Co  0.250  0.750  0.000
Co  0.750  0.250  0.000
Co  0.750  0.750  0.000
Cu  0.000  0.000  0.500
Cu  0.500  0.500  0.500
Re  0.000  0.500  0.500
Re  0.500  0.000  0.500

=====

The winner here is entry x, beating the second structure by 20.4 kJ/mol of atoms.

=====

Entry w
First-principles (PBE) data for crystalline Co2CuRe at its relaxed geometry, as listed in the Alexandria database.

## Properties
As for the symmetry: No. 225.

Cell: 5.778 5.778 5.778 Å, 90.00 90.00 90.00°
Fractional positions:
Co  0.250  0.250  0.250
Co  0.250  0.250  0.750
Co  0.250  0.750  0.250
Co  0.250  0.750  0.750
Co  0.750  0.250  0.250
Co  0.750  0.250  0.750
Co  0.750  0.750  0.250
Co  0.750  0.750  0.750
Cu  0.000  0.000  0.000
Cu  0.000  0.500  0.500
Cu  0.500  0.000  0.500
Cu  0.500  0.500  0.000
Re  0.000  0.000  0.500
Re  0.000  0.500  0.000
Re  0.500  0.000  0.000
Re  0.500  0.500  0.500

=====

Entry x
First-principles (PBE) data for crystalline Co2CuRe at its relaxed geometry, as listed in the Alexandria database.

## Properties
As for the symmetry: No. 12.

Cell: 8.392 2.585 4.525 Å, 90.00 99.02 90.00°
Fractional positions:
Co  0.249  0.000  0.245
Co  0.251  0.500  0.755
Co  0.749  0.500  0.245
Co  0.751  0.000  0.755
Cu  0.000  0.000  0.500
Cu  0.500  0.500  0.500
Re  0.000  0.500  0.000
Re  0.500  0.000  0.000

=====

The winner here is entry x, beating the second structure by 2.0 kJ/mol of atoms.

=====

Entry w
First-principles (PBE) data for crystalline Co2CuRe at its relaxed geometry, as listed in the Alexandria database.

## Properties
As for the symmetry: No. 10.

Cell: 2.516 4.171 4.710 Å, 90.00 95.75 90.00°
Fractional positions:
Co  0.223  0.000  0.253
Co  0.777  0.000  0.747
Cu  0.000  0.500  0.500
Re  0.500  0.500  0.000

=====

Entry x
First-principles (PBE) data for crystalline Co2CuRe at its relaxed geometry, as listed in the Alexandria database.

## Properties
As for the symmetry: No. 47.

Cell: 2.622 4.334 4.390 Å, 90.00 90.00 90.00°
Fractional positions:
Co  0.000  0.000  0.000
Co  0.500  0.000  0.500
Cu  0.000  0.500  0.500
Re  0.500  0.500  0.000

=====

Entry y
First-principles (PBE) data for crystalline Co2CuRe at its relaxed geometry, as listed in the Alexandria database.

## Properties
As for the symmetry: No. 119.

Cell: 3.528 3.528 7.599 Å, 90.00 90.00 90.00°
Fractional positions:
Co  0.000  0.000  0.000
Co  0.000  0.500  0.250
Co  0.500  0.000  0.750
Co  0.500  0.500  0.500
Cu  0.000  0.000  0.500
Cu  0.500  0.500  0.000
Re  0.000  0.500  0.750
Re  0.500  0.000  0.250

=====

The winner here is entry y, beating the second structure by 6.9 kJ/mol of atoms.